# ZnTcPb2O6

A geometry-optimized ZnTcPb2O6 structure (PBE, the Alexandria database).

Uncorrected energy (eV per atom): -6.11
Symmetry: No. 14
M_tot (μB/atom): 0.101
Density of states at the Fermi level (states/eV per cell): 6.48

abc: 5.686 5.713 8.019
angles: 90.00 90.05 90.00
Each line ends with the local moment (μB).
Positions (direct):
Pb (0.505, 0.531, 0.751)  0.00
O (0.299, 0.727, 0.462)  0.00
O (0.201, 0.227, 0.038)  0.00
Pb (0.995, 0.031, 0.749)  0.00
O (0.771, 0.796, 0.535)  0.01
O (0.930, 0.517, 0.238)  0.01
Pb (0.495, 0.469, 0.249)  0.00
O (0.229, 0.204, 0.465)  0.01
Pb (0.005, 0.969, 0.251)  0.00
Zn (0.500, 0.000, 0.000)  0.00
O (0.570, 0.017, 0.262)  0.01
Tc (0.000, 0.500, 0.000)  0.85
Zn (0.000, 0.500, 0.500)  0.00
O (0.430, 0.983, 0.738)  0.01
O (0.271, 0.704, 0.035)  0.01
O (0.729, 0.296, 0.965)  0.01
Tc (0.500, 0.000, 0.500)  0.85
O (0.070, 0.483, 0.762)  0.01
O (0.701, 0.273, 0.538)  0.00
O (0.799, 0.773, 0.962)  0.00